SrHgMo (PBE, relaxed); offset from the most stable computed form = 1.93 eV/f.u.; ΔH_f (0 K) = 3.97 eV per formula unit; crystal system = cubic; calculated density = 6.261 g/cm3; space group = F-43m
1.0
0.0000 3.7069 3.7069
3.7069 0.0000 3.7069
3.7069 3.7069 0.0000
Sr Hg Mo
1 1 1
Direct
0.0000 0.0000 0.0000
0.7500 0.7500 0.7500
0.2500 0.2500 0.2500